Record 1
A geometry-optimized InReB2 structure, computed with PBE-GGA.

M_tot: 0.0000 μB per atom
ΔE_f: 0.783 eV/atom

Cell: 5.192 5.192 6.124 Å, 64.92 64.92 90.00°
Sites, in units of the cell vectors:
Re 0.000 0.000 0.000
Re 0.750 0.250 0.500
B 0.687 0.125 0.250
B 0.063 0.625 0.250
B 0.375 0.313 0.750
B 0.875 0.937 0.750
In 0.500 0.500 0.000
In 0.250 0.750 0.500

***

Record 2
A geometry-optimized La4HoTm5 structure, computed with PBE-GGA.

M_tot: 0.0000 μB per atom
ΔE_f: 0.200 eV/atom

Cell: 3.516 11.451 8.702 Å, 90.12 101.65 90.00°
Sites, in units of the cell vectors:
La 0.665 0.250 0.330
La 0.034 0.750 0.069
La 0.335 0.750 0.670
La 0.966 0.250 0.931
Ho 0.500 0.000 0.000
Tm 0.173 0.954 0.345
Tm 0.172 0.544 0.344
Tm 0.828 0.456 0.656
Tm 0.500 0.500 0.000
Tm 0.827 0.046 0.655

***

Record 3
A geometry-optimized SrZnSiPt6 structure, computed with PBE-GGA.

raw formation energy: -0.321 eV per atom
M_tot: 0.0000 μB per atom

Cell: 6.608 9.315 8.029 Å, 125.45 114.30 90.00°
Sites, in units of the cell vectors:
Sr 0.821 0.571 0.642
Sr 0.179 0.429 0.358
Zn 0.500 0.000 0.500
Zn 0.000 0.000 0.500
Si 0.500 0.500 0.000
Si 0.500 0.000 0.000
Pt 0.437 0.687 0.873
Pt 0.913 0.163 0.827
Pt 0.899 0.112 0.255
Pt 0.356 0.643 0.255
Pt 0.356 0.112 0.255
Pt 0.899 0.643 0.255
Pt 0.563 0.313 0.127
Pt 0.087 0.837 0.173
Pt 0.101 0.888 0.745
Pt 0.644 0.357 0.745
Pt 0.644 0.888 0.745
Pt 0.101 0.357 0.745

***

Record 4
A geometry-optimized Mg2TeP structure, computed with PBE-GGA.

raw formation energy: -0.407 eV per atom
M_tot: 0.0000 μB per atom

Cell: 5.707 4.007 4.011 Å, 90.00 90.00 90.00°
Sites, in units of the cell vectors:
Mg 0.000 0.876 0.875
Mg 0.500 0.375 0.375
P 0.000 0.375 0.375
Te 0.500 0.875 0.875

***

Record 5
A geometry-optimized Zn2HPt6 structure, computed with PBE-GGA.

energy: -4.8799 eV/atom
M_tot: 0.0000 μB per atom

Cell: 4.683 5.696 9.476 Å, 90.00 90.00 90.56°
Sites, in units of the cell vectors:
Zn 0.176 0.242 0.608
Zn 0.311 0.239 0.111
Zn 0.676 0.742 0.892
Zn 0.811 0.739 0.389
H 0.556 0.045 0.484
H 0.056 0.545 0.016
Pt 0.319 0.736 0.104
Pt 0.324 0.495 0.363
Pt 0.307 0.990 0.345
Pt 0.174 0.495 0.838
Pt 0.162 0.998 0.863
Pt 0.171 0.760 0.601
Pt 0.671 0.260 0.899
Pt 0.662 0.498 0.637
Pt 0.674 0.995 0.662
Pt 0.807 0.490 0.155
Pt 0.824 0.995 0.137
Pt 0.819 0.236 0.396

***

Record 6
A geometry-optimized TlPHCl2 structure, computed with PBE-GGA.

energy: -2.3202 eV/atom
M_tot: 0.5972 μB per atom

Cell: 5.442 5.442 5.346 Å, 90.00 90.00 90.00°
Each line ends with the local moment (μB).
Sites, in units of the cell vectors:
P 0.000 0.000 0.500  0.83
Tl 0.000 0.000 0.000  0.00
H 0.500 0.500 0.500  0.38
Cl 0.000 0.500 0.000  0.04
Cl 0.500 0.000 0.000  0.04

***

Record 7
A geometry-optimized Pr8CuGe3I4 structure, computed with PBE-GGA.

raw formation energy: -0.889 eV per atom
M_tot: 0.0000 μB per atom

Cell: 8.759 9.205 8.758 Å, 118.41 120.00 90.00°
Sites, in units of the cell vectors:
Pr 0.233 0.703 0.970
Pr 0.233 0.703 0.465
Pr 0.266 0.297 0.531
Pr 0.738 0.703 0.970
Pr 0.262 0.297 0.030
Pr 0.734 0.703 0.469
Pr 0.767 0.297 0.535
Pr 0.767 0.297 0.030
Cu 0.000 0.500 0.000
Ge 0.500 0.500 0.000
Ge 0.500 0.500 0.500
Ge 0.000 0.500 0.500
I 0.500 0.000 0.000
I 0.500 0.000 0.500
I 0.000 0.000 0.000
I 0.000 0.000 0.500

***

Record 8
A geometry-optimized EuDy3H structure, computed with PBE-GGA.

energy: -5.5958 eV/atom
M_tot: 1.3851 μB per atom

Cell: 5.043 5.043 5.043 Å, 90.00 90.00 90.00°
Each line ends with the local moment (μB).
Sites, in units of the cell vectors:
Eu 0.500 0.500 0.500  6.81
H 0.000 0.000 0.000  0.00
Dy 0.000 0.500 0.000  -0.03
Dy 0.000 0.000 0.500  -0.03
Dy 0.500 0.000 0.000  -0.03